Density functional theory data (GGA-PBE) for Cd5GaHg11 after structural relaxation.

volume: 26.3 A^3/atom
total energy: -0.587 eV/atom
calculated formation energy: 0.06 eV/atom
density: 10.52 g/cm³

Cell: 8.7418 8.7418 7.4634 Å, 100.46 100.46 122.11°
Element x y z (fractional)
Cd: 0.0000 0.0000 0.0000
Cd: 0.0624 0.3084 0.3245
Cd: 0.3084 0.0624 0.3245
Cd: 0.6916 0.9376 0.6755
Cd: 0.9376 0.6916 0.6755
Ga: 0.5000 0.5000 0.0000
Hg: 0.0770 0.3806 0.9304
Hg: 0.1784 0.1784 0.6459
Hg: 0.2597 0.6570 0.6947
Hg: 0.3430 0.7403 0.3053
Hg: 0.3806 0.0770 0.9304
Hg: 0.5000 0.5000 0.5000
Hg: 0.6194 0.9230 0.0696
Hg: 0.6570 0.2597 0.6947
Hg: 0.7403 0.3430 0.3053
Hg: 0.8216 0.8216 0.3541
Hg: 0.9230 0.6194 0.0696


Density functional theory data (GGA-PBE) for Ba3As2 after structural relaxation.

volume: 44.8 A^3/atom
total energy: -4.064 eV/atom
calculated formation energy: -1.05 eV/atom
density: 4.17 g/cm³
energy above the lowest structure with this stoichiometry: 0.000 eV per atom

Cell: 8.8054 8.8054 8.8054 Å, 56.84 56.84 56.84°
Element x y z (fractional)
Ba: 0.0440 0.7500 0.4560
Ba: 0.2500 0.5440 0.9560
Ba: 0.4560 0.0440 0.7500
Ba: 0.5440 0.9560 0.2500
Ba: 0.7500 0.4560 0.0440
Ba: 0.9560 0.2500 0.5440
As: 0.1456 0.1456 0.1456
As: 0.3544 0.3544 0.3544
As: 0.6456 0.6456 0.6456
As: 0.8544 0.8544 0.8544


Density functional theory data (GGA-PBE) for OsRu4Br after structural relaxation.

volume: 15.9 A^3/atom
total energy: -7.079 eV/atom
raw formation energy: 1.256 eV per atom
density: 11.76 g/cm³

Cell: 5.1256 5.1256 5.1256 Å, 60.00 60.00 60.00°
Element x y z (fractional)
Os: 0.0000 0.0000 0.0000
Ru: 0.1238 0.6254 0.6254
Ru: 0.6254 0.1238 0.6254
Ru: 0.6254 0.6254 0.1238
Ru: 0.6254 0.6254 0.6254
Br: 0.2500 0.2500 0.2500